(1)
Sc2Co (PBE, relaxed); SG = I4_1/amd, No. 141; volume = 19.5 Å³/atom; total energy = -6.765 eV/atom; DFT formation energy = -175.0 meV/atom
1.0
-1.538 1.538 12.374
1.538 -1.538 12.374
1.538 1.538 -12.374
Sc Co
4 2
Cartesian
1.538 0.000 7.733
1.538 0.000 4.641
0.000 0.000 13.920
0.000 0.000 10.827
0.000 0.000 0.000
0.000 1.538 6.187

=====

(2)
AcGa9Pd3 (PBE, relaxed); SG = C2/m, No. 12; volume = 18.1 Å³/atom; total energy = -4.051 eV/atom; DFT formation energy = -440.7 meV/atom
1.0
5.167 -0.067 2.097
2.412 6.472 0.979
0.146 -0.033 7.055
Ac Ga Pd
1 9 3
Cartesian
0.000 0.000 0.000
5.676 5.012 7.762
2.049 1.360 2.370
3.267 1.326 6.784
4.458 5.045 3.348
4.192 2.199 4.237
3.533 4.173 5.895
6.788 4.139 5.290
0.937 2.232 4.841
1.206 3.236 0.490
3.790 3.203 1.538
0.073 -0.017 3.528
2.656 -0.050 4.576